Entry from Alexandria via LeMat-Bulk: a geometry-optimized Dy2Tm2In structure (PBE).

POSCAR file:
```
Dy2Tm2In
1.0
8.153 0.000 0.000
0.000 8.153 0.000
0.000 0.000 4.557
Dy Tm In
4 4 2
direct
0.148 0.352 0.000
0.352 0.852 0.000
0.648 0.148 0.000
0.852 0.648 0.000
0.151 0.651 0.500
0.349 0.151 0.500
0.651 0.849 0.500
0.849 0.349 0.500
0.000 0.000 0.000
0.500 0.500 0.000
```

Properties
symmetry: P4/mbm
total energy: -4.13 eV/atom
energy relative to the elements: 49 meV per atom
excess energy over the best structure of this formula in the dataset: 0 kJ/mol of formula units
D(E_F): 10.842 states/eV per cell
spin magnetization: 0.00 Bohr magnetons per cell